Below is Ca2MgPd2 after structural relaxation, with properties calculated at the GGA-PBE level.

Output
Final energy (eV/atom): -3.46
Energy of formation (kJ per mole of atoms): -25.34
Crystal system: tetragonal

Cell: 3.9072 3.9072 8.9617 Å, 77.41 77.41 90.00°
Last column: nearest neighbours and their distance in Å.
Element x y z (fractional)
Pd 0.7500 0.2500 0.5000  4 Pd 2.76, 4 Ca 2.90
Pd 0.2500 0.7500 0.5000  4 Pd 2.76, 4 Ca 2.90
Mg 0.0000 0.0000 0.0000  8 Ca 3.48
Ca 0.3760 0.3760 0.2480  4 Pd 2.90
Ca 0.6240 0.6240 0.7520  4 Pd 2.90

***

Below is GePd2C after structural relaxation, with properties calculated at the GGA-PBE level.

Output
Final energy (eV/atom): -5.17
Energy of formation (kJ per mole of atoms): 85.17
ΔE to the lowest computed polymorph (eV per atom): 0.371
Crystal system: cubic

Cell: 4.2367 4.2367 4.2367 Å, 60.00 60.00 60.00°
Last column: nearest neighbours and their distance in Å.
Element x y z (fractional)
Pd 0.7500 0.7500 0.7500  4 Ge 2.59, 4 C 2.59
Pd 0.2500 0.2500 0.2500  4 Ge 2.59, 4 C 2.59
Ge 0.5000 0.5000 0.5000  8 Pd 2.59
C 0.0000 0.0000 0.0000  8 Pd 2.59

***

Below is CaHoPtPb after structural relaxation, with properties calculated at the GGA-PBE level.

Output
Final energy (eV/atom): -4.77
Energy of formation (kJ per mole of atoms): -66.08
ΔE to the lowest computed polymorph (eV per atom): 0.158
Crystal system: cubic

Cell: 5.1811 5.1811 5.1811 Å, 60.00 60.00 60.00°
Last column: nearest neighbours and their distance in Å.
Element x y z (fractional)
Ca 0.2500 0.2500 0.2500  4 Pb 3.17, 4 Pt 3.17
Pb 0.0000 0.0000 0.0000  4 Ho 3.17, 4 Ca 3.17
Ho 0.7500 0.7500 0.7500  4 Pt 3.17, 4 Pb 3.17
Pt 0.5000 0.5000 0.5000  4 Ho 3.17, 4 Ca 3.17

***

Below is Mg3Ag7Sn2 after structural relaxation, with properties calculated at the GGA-PBE level.

Output
Final energy (eV/atom): -2.77
Energy of formation (kJ per mole of atoms): -4.24
Crystal system: orthorhombic

Cell: 4.3432 4.5589 12.8731 Å, 100.20 90.00 90.00°
Last column: nearest neighbours and their distance in Å.
Element x y z (fractional)
Ag 0.5000 0.9231 0.8462  4 Mg 2.91-3.00, 6 Ag 2.92-3.15, 2 Sn 2.95
Ag 0.0000 0.7210 0.4419  2 Ag 2.71, 2 Sn 2.81, 2 Mg 2.85
Ag 0.5000 0.0769 0.1538  4 Mg 2.91-3.00, 6 Ag 2.92-3.15, 2 Sn 2.95
Ag 0.0000 0.4275 0.8549  4 Mg 2.85-2.90, 6 Ag 2.93-3.15, 2 Sn 3.11
Ag 0.0000 0.0000 0.0000  8 Ag 2.92-2.93, 4 Mg 3.15
Ag 0.0000 0.5725 0.1451  4 Mg 2.85-2.90, 6 Ag 2.93-3.15, 2 Sn 3.11
Ag 0.0000 0.2790 0.5581  2 Ag 2.71, 2 Sn 2.81, 2 Mg 2.85
Sn 0.0000 0.1559 0.3119  7 Ag 2.81-3.12
Sn 0.0000 0.8441 0.6881  7 Ag 2.81-3.12
Mg 0.5000 0.3518 0.7035  6 Ag 2.85-2.91, 4 Sn 3.15
Mg 0.5000 0.5000 0.0000  12 Ag 2.85-3.15
Mg 0.5000 0.6482 0.2965  6 Ag 2.85-2.91, 4 Sn 3.15

***

Below is BeFeSi after structural relaxation, with properties calculated at the GGA-PBE level.

Output
Final energy (eV/atom): -6.02
Crystal system: trigonal
Uncorrected formation energy (meV/atom): -153

Cell: 3.6998 3.6998 2.5226 Å, 90.00 90.00 120.00°
Last column: nearest neighbours and their distance in Å.
Element x y z (fractional)
Fe 0.6667 0.3333 0.3329  6 Be 2.40-2.58, 6 Si 2.40-2.57, 2 Fe 2.52
Be 0.0000 0.0000 0.9034  3 Si 2.16, 3 Fe 2.40
Si 0.3333 0.6667 0.7637  3 Be 2.16, 3 Fe 2.40

***

Below is PmThRh after structural relaxation, with properties calculated at the GGA-PBE level.

Output
Final energy (eV/atom): -6.88
Energy of formation (kJ per mole of atoms): -35.98
ΔE to the lowest computed polymorph (eV per atom): 0.138
Crystal system: cubic

Cell: 4.9453 4.9453 4.9453 Å, 60.00 60.00 60.00°
Last column: nearest neighbours and their distance in Å.
Element x y z (fractional)
Pm 0.0000 0.0000 0.0000  4 Rh 3.03
Rh 0.2500 0.2500 0.2500  4 Th 3.03, 4 Pm 3.03
Th 0.5000 0.5000 0.5000  4 Rh 3.03

***

Below is KAs2Pb2S6 after structural relaxation, with properties calculated at the GGA-PBE level.

Output
Final energy (eV/atom): -4.17
Crystal system: monoclinic
Uncorrected formation energy (meV/atom): -301

Cell: 9.5365 7.8379 8.4497 Å, 118.79 90.03 52.49°
Last column: nearest neighbours and their distance in Å.
Element x y z (fractional)
Pb 0.7840 0.4323 0.8718  3 S 2.73-2.91
Pb 0.2160 0.5677 0.1282  3 S 2.73-2.91
S 0.5958 0.4537 0.1604  1 As 2.24
S 0.9509 0.4532 0.1607  1 As 2.24
S 0.9401 0.1195 0.3922  1 As 2.31
S 0.0599 0.8805 0.6078  1 As 2.31
S 0.4042 0.5463 0.8396  1 As 2.24
S 0.0491 0.5468 0.8393  1 As 2.24
K 0.5000 0.0000 0.5000  4 S 3.29
As 0.8854 0.2291 0.1753  3 S 2.24-2.31
As 0.1146 0.7709 0.8247  3 S 2.24-2.31

***

Below is ErCo2B4 after structural relaxation, with properties calculated at the GGA-PBE level.

Output
Final energy (eV/atom): -6.86
Energy of formation (kJ per mole of atoms): -35.27
Crystal system: orthorhombic

Cell: 3.0798 3.2515 7.1151 Å, 103.21 102.50 90.00°
Last column: nearest neighbours and their distance in Å.
Element x y z (fractional)
B 0.3426 0.3426 0.6852  2 B 1.71
B 0.6574 0.6574 0.3148  2 B 1.71
B 0.1019 0.6019 0.2038  2 B 1.71
B 0.8981 0.3981 0.7962  2 B 1.71
Co 0.1923 0.1923 0.3845  3 B 2.03
Co 0.8077 0.8077 0.6155  3 B 2.03
Er 0.5000 0.0000 0.0000  12 B 2.63-2.68

***

Below is Ce4CS2N after structural relaxation, with properties calculated at the GGA-PBE level.

Output
Final energy (eV/atom): -7.63
Crystal system: monoclinic
Uncorrected formation energy (meV/atom): -1435

Cell: 3.7700 6.5221 6.7796 Å, 108.74 90.00 90.00°
Last column: nearest neighbours and their distance in Å.
Element x y z (fractional)
Ce 0.5000 0.2366 0.2151  2 N 2.57, 1 C 2.59, 3 S 2.83-2.85
Ce 0.0000 0.2593 0.7833  1 N 2.57, 2 C 2.59, 3 S 2.83-2.84
Ce 0.5000 0.7634 0.7849  2 N 2.57, 1 C 2.59, 3 S 2.83-2.85
Ce 0.0000 0.7407 0.2167  1 N 2.57, 2 C 2.59, 3 S 2.83-2.84
N 0.0000 0.0000 0.0000  6 Ce 2.57
S 0.5000 0.0000 0.5000  6 Ce 2.83
S 0.0000 0.5000 0.5000  6 Ce 2.84-2.85
C 0.5000 0.5000 0.0000  6 Ce 2.59

***

Below is Co3Sb after structural relaxation, with properties calculated at the GGA-PBE level.

Output
Final energy (eV/atom): -6.02
Crystal system: hexagonal
Uncorrected formation energy (meV/atom): 336

Cell: 3.6923 3.6923 5.2187 Å, 90.00 90.00 120.00°
Last column: nearest neighbours and their distance in Å.
Element x y z (fractional)
Co 0.0000 0.0000 0.0241  4 Co 2.36-2.44, 3 Sb 2.57
Co 0.0000 0.0000 0.4759  4 Co 2.36-2.44, 3 Sb 2.57
Co 0.6667 0.3333 0.2500  6 Co 2.44, 2 Sb 2.61
Sb 0.6667 0.3333 0.7500  8 Co 2.57-2.61

***

Below is Nb4CoSe8 after structural relaxation, with properties calculated at the GGA-PBE level.

Output
Final energy (eV/atom): -6.59
Crystal system: hexagonal
Uncorrected formation energy (meV/atom): -805

Cell: 6.9659 6.9659 12.3673 Å, 90.00 90.00 120.00°
Last column: nearest neighbours and their distance in Å.
Element x y z (fractional)
Se 0.8333 0.1667 0.8841  1 Co 2.47, 3 Nb 2.61-2.65
Se 0.3334 0.1667 0.6159  1 Co 2.47, 3 Nb 2.61-2.65
Se 0.3333 0.6667 0.6082  3 Nb 2.59
Se 0.6666 0.8333 0.1159  1 Co 2.47, 3 Nb 2.61-2.65
Se 0.1667 0.3334 0.3841  1 Co 2.47, 3 Nb 2.61-2.65
Se 0.1667 0.8333 0.3841  1 Co 2.47, 3 Nb 2.61-2.65
Se 0.1667 0.8333 0.1159  1 Co 2.47, 3 Nb 2.61-2.65
Se 0.3333 0.6667 0.8918  3 Nb 2.59
Se 0.6667 0.3333 0.3918  3 Nb 2.59
Se 0.1667 0.3334 0.1159  1 Co 2.47, 3 Nb 2.61-2.65
Se 0.8333 0.1667 0.6159  1 Co 2.47, 3 Nb 2.61-2.65
Se 0.6666 0.8333 0.3841  1 Co 2.47, 3 Nb 2.61-2.65
Se 0.8333 0.6666 0.8841  1 Co 2.47, 3 Nb 2.61-2.65
Se 0.3334 0.1667 0.8841  1 Co 2.47, 3 Nb 2.61-2.65
Se 0.6667 0.3333 0.1082  3 Nb 2.59
Se 0.8333 0.6666 0.6159  1 Co 2.47, 3 Nb 2.61-2.65
Nb 0.4909 0.9817 0.7500  6 Se 2.59-2.65
Nb 0.0000 0.0000 0.2500  6 Se 2.61
Nb 0.5091 0.4909 0.2500  6 Se 2.59-2.65
Nb 0.9817 0.4909 0.2500  6 Se 2.59-2.65
Nb 0.0183 0.5091 0.7500  6 Se 2.59-2.65
Nb 0.4909 0.5091 0.7500  6 Se 2.59-2.65
Nb 0.0000 0.0000 0.7500  6 Se 2.61
Nb 0.5091 0.0183 0.2500  6 Se 2.59-2.65
Co 0.0000 0.0000 0.5000  6 Se 2.47
Co 0.0000 0.0000 0.0000  6 Se 2.47

***

Below is SrRhAu after structural relaxation, with properties calculated at the GGA-PBE level.

Output
Final energy (eV/atom): -4.29
Energy of formation (kJ per mole of atoms): -17.70
ΔE to the lowest computed polymorph (eV per atom): 0.180
Crystal system: tetragonal

Cell: 5.7644 5.7644 5.7644 Å, 142.93 142.91 53.44°
Last column: nearest neighbours and their distance in Å.
Element x y z (fractional)
Rh 0.3732 0.3732 0.0000  4 Au 2.74, 1 Sr 3.01
Au 0.9608 0.9608 0.0000  4 Rh 2.74, 1 Sr 3.04
Sr 0.6660 0.6660 0.0000  5 Rh 3.01-3.36, 5 Au 3.04-3.34